(1)
A geometry-optimized CoSeS structure. Source: Alexandria, functional PBE.

Cell lengths 5.920, 5.920, 6.657 Å; angles 108.50, 108.50, 106.65 degrees
Fractional coordinates of all 12 atoms:
Co  0.978  0.963  0.516
Co  0.212  0.697  0.984
Co  0.447  0.462  0.484
Co  0.713  0.228  0.016
Se  0.677  0.889  0.137
Se  0.290  0.002  0.363
Se  0.639  0.927  0.637
Se  0.752  0.540  0.863
S  0.135  0.412  0.624
S  0.162  0.385  0.124
S  0.261  0.038  0.876
S  0.788  0.511  0.376

Fermi-level density of states in states/eV/cell: 9.90
E_form (uncorrected) in eV per atom: -0.282

=====

(2)
A geometry-optimized Ti2Mn3Co structure. Source: Alexandria, functional PBE.

Cell lengths 4.662, 4.662, 4.825 Å; angles 90.01, 118.88, 120.00 degrees
Fractional coordinates of all 6 atoms:
Ti  0.754  0.377  0.131
Ti  0.246  0.623  0.869
Mn  0.500  0.500  0.500
Mn  0.000  0.000  0.500
Mn  0.500  0.000  0.500
Co  0.000  0.000  0.000

Fermi-level density of states in states/eV/cell: 7.26
Energy of formation from the pure elements in kcal/mol of atoms: -6.2

=====

(3)
A geometry-optimized Rb2BSb2 structure. Source: Alexandria, functional PBE.

Cell lengths 11.217, 11.217, 3.135 Å; angles 90.00, 90.00, 90.00 degrees
Fractional coordinates of all 10 atoms:
Sb  0.170  0.670  0.500
Sb  0.670  0.830  0.500
Sb  0.830  0.330  0.500
Sb  0.330  0.170  0.500
B  0.000  0.000  0.000
B  0.500  0.500  0.000
Rb  0.371  0.871  0.000
Rb  0.871  0.629  0.000
Rb  0.629  0.129  0.000
Rb  0.129  0.371  0.000

Fermi-level density of states in states/eV/cell: 10.35
E_form (uncorrected) in eV per atom: 1.058

=====

Which of these has the lowest Fermi-level density of states?
Ti2Mn3Co

=====

Among the records above, which one has the highest Fermi-level density of states?
Rb2BSb2

=====

Which of these has the highest Fermi-level density of states?
Rb2BSb2

=====

Which of these has the highest Fermi-level density of states?
Rb2BSb2